[1]
A relaxed V5Co2Ni12 crystal. Source: Alexandria via LeMat-Bulk, functional PBE.

a = 7.2362 Å, b = 7.2362 Å, c = 7.6087 Å
α = 104.76°, β = 104.76°, γ = 38.76°
Last column: nearest neighbours and their distance in Å.
Fractional positions:
1 V 0.0000 0.0000 0.0000  6 Ni 2.32-2.39
2 V 0.3006 0.3006 0.1176  9 Ni 2.37-2.63
3 V 0.3826 0.3826 0.6131  5 Ni 2.25-2.46, 2 Co 2.38
4 V 0.6174 0.6174 0.3869  5 Ni 2.25-2.46, 2 Co 2.38
5 V 0.6994 0.6994 0.8824  9 Ni 2.37-2.63
6 Co 0.2370 0.7630 0.5000  2 Co 2.28-2.53, 2 V 2.38
7 Co 0.7630 0.2370 0.5000  2 Co 2.28-2.53, 2 V 2.38
8 Ni 0.0305 0.5579 0.3803  2 V 2.25-2.39, 4 Ni 2.27-2.44
9 Ni 0.1068 0.5982 0.8781  4 V 2.32-2.46, 5 Ni 2.36-2.56
10 Ni 0.1183 0.1183 0.8179  3 V 2.39-2.63, 4 Ni 2.44-2.55
11 Ni 0.4018 0.8932 0.1219  4 V 2.32-2.46, 5 Ni 2.36-2.56
12 Ni 0.4421 0.9695 0.6197  2 V 2.25-2.39, 4 Ni 2.27-2.44
13 Ni 0.4774 0.4774 0.1445  2 V 2.27-2.37, 1 Ni 2.44
14 Ni 0.5226 0.5226 0.8555  2 V 2.27-2.37, 1 Ni 2.44
15 Ni 0.5579 0.0305 0.3803  2 V 2.25-2.39, 4 Ni 2.27-2.44
16 Ni 0.5982 0.1068 0.8781  4 V 2.32-2.46, 5 Ni 2.36-2.56
17 Ni 0.8817 0.8817 0.1821  3 V 2.39-2.63, 4 Ni 2.44-2.55
18 Ni 0.8932 0.4018 0.1219  4 V 2.32-2.46, 5 Ni 2.36-2.56
19 Ni 0.9695 0.4421 0.6197  2 V 2.25-2.39, 4 Ni 2.27-2.44

Values from the calculation:
The space-group type is C2/m, No. 12. The formation energy from the elements is 171 meV/atom. As for the raw total energy: -6.628 eV/atom.

[2]
A relaxed CaMg2Ir2 crystal. Source: Alexandria via LeMat-Bulk, functional PBE.

a = 6.3208 Å, b = 6.3208 Å, c = 6.3208 Å
α = 140.03°, β = 140.03°, γ = 57.80°
Last column: nearest neighbours and their distance in Å.
Fractional positions:
1 Ca 0.0000 0.0000 0.0000  8 Ir 3.29, 8 Mg 3.51
2 Mg 0.2500 0.7500 0.5000  4 Ir 2.66
3 Mg 0.7500 0.2500 0.5000  4 Ir 2.66
4 Ir 0.3901 0.3901 0.0000  1 Ir 2.43, 4 Mg 2.66
5 Ir 0.6099 0.6099 0.0000  1 Ir 2.43, 4 Mg 2.66

Values from the calculation:
The space-group type is I4/mmm, No. 139. The formation energy from the elements is -241 meV/atom. As for the raw total energy: -4.824 eV/atom.

[3]
A relaxed RbHg3Cl3 crystal. Source: Alexandria via LeMat-Bulk, functional PBE.

a = 8.4060 Å, b = 8.4060 Å, c = 8.4060 Å
α = 90.00°, β = 90.00°, γ = 90.00°
Last column: nearest neighbours and their distance in Å.
Fractional positions:
1 Rb 0.0000 0.0000 0.0000  12 Hg 4.70, 12 Cl 4.70
2 Rb 0.5000 0.5000 0.5000  12 Hg 4.70, 12 Cl 4.70
3 Hg 0.0000 0.2500 0.5000  4 Cl 2.97
4 Hg 0.0000 0.7500 0.5000  4 Cl 2.97
5 Hg 0.2500 0.5000 0.0000  4 Cl 2.97
6 Hg 0.5000 0.0000 0.2500  4 Cl 2.97
7 Hg 0.5000 0.0000 0.7500  4 Cl 2.97
8 Hg 0.7500 0.5000 0.0000  4 Cl 2.97
9 Cl 0.0000 0.5000 0.2500  4 Hg 2.97
10 Cl 0.0000 0.5000 0.7500  4 Hg 2.97
11 Cl 0.2500 0.0000 0.5000  4 Hg 2.97
12 Cl 0.5000 0.2500 0.0000  4 Hg 2.97
13 Cl 0.5000 0.7500 0.0000  4 Hg 2.97
14 Cl 0.7500 0.0000 0.5000  4 Hg 2.97

Values from the calculation:
For the raw formation energy, the calculation gives -0.415 eV/atom. The space-group type is Pm-3n, No. 223. As for the raw total energy: -1.474 eV/atom.

Which value of raw total energy does entry 1 give? -6.628 eV/atom